1.
DFT (GGA-PBE) results for an optimized crystal structure of Nd6AgAu2.

Calculated formation energy (eV per atom): -0.2093
Space-group type: C2/m (12)
Spin magnetization (μB/f.u.): 1.834

```
Nd6AgAu2
1.0
8.152 -3.648 0.000
8.152 3.648 0.000
-1.612 0.000 4.882
Nd Ag Au
6 1 2
Direct
0.079 0.585 0.332
0.245 0.755 0.000
0.415 0.921 0.668
0.585 0.079 0.332
0.755 0.245 0.000
0.921 0.415 0.668
0.500 0.500 0.500
0.167 0.167 0.167
0.833 0.833 0.833
```

2.
DFT (GGA-PBE) results for an optimized crystal structure of NdAgAu2.

Calculated formation energy (eV per atom): -0.3974
Energy relative to the lowest polymorph listed for this composition (meV per atom): 167
Space-group type: P4/mmm (123)
Spin magnetization (μB/f.u.): 0.000

```
NdAgAu2
1.0
4.725 0.000 0.000
0.000 4.725 0.000
0.000 0.000 3.977
Nd Ag Au
1 1 2
Direct
0.000 0.000 0.000
0.500 0.500 0.000
0.000 0.500 0.500
0.500 0.000 0.500
```

3.
DFT (GGA-PBE) results for an optimized crystal structure of NdAgAu.

Calculated formation energy (eV per atom): -0.5699
Energy relative to the lowest polymorph listed for this composition (meV per atom): 0
Space-group type: P-62m (189)
Spin magnetization (μB/f.u.): 0.000

```
NdAgAu
1.0
7.783 0.000 0.000
-3.891 6.740 0.000
0.000 0.000 4.051
Nd Ag Au
3 3 3
Direct
0.000 0.401 0.000
0.401 0.000 0.000
0.599 0.599 0.000
0.000 0.741 0.500
0.259 0.259 0.500
0.741 0.000 0.500
0.000 0.000 0.000
0.333 0.667 0.500
0.667 0.333 0.500
```

4.
DFT (GGA-PBE) results for an optimized crystal structure of NdAgAu.

Calculated formation energy (eV per atom): -0.2973
Energy relative to the lowest polymorph listed for this composition (meV per atom): 273
Space-group type: P2_13 (198)
Spin magnetization (μB/f.u.): 0.000

```
NdAgAu
1.0
6.817 0.000 0.000
0.000 6.817 0.000
0.000 0.000 6.817
Nd Ag Au
4 4 4
Direct
0.019 0.019 0.019
0.481 0.981 0.519
0.519 0.481 0.981
0.981 0.519 0.481
0.231 0.731 0.769
0.269 0.269 0.269
0.731 0.769 0.231
0.769 0.231 0.731
0.011 0.989 0.489
0.489 0.011 0.989
0.511 0.511 0.511
0.989 0.489 0.011
```

5.
DFT (GGA-PBE) results for an optimized crystal structure of Nd2Ag5Au.

Calculated formation energy (eV per atom): -0.2555
Space-group type: Cmcm (63)
Spin magnetization (μB/f.u.): 0.000

```
Nd2Ag5Au
1.0
2.084 -8.855 0.000
2.084 8.855 0.000
0.000 0.000 9.952
Nd Ag Au
4 10 2
Direct
0.000 0.000 0.000
0.000 0.000 0.500
0.179 0.821 0.750
0.821 0.179 0.250
0.207 0.793 0.105
0.207 0.793 0.395
0.365 0.635 0.026
0.365 0.635 0.474
0.382 0.618 0.750
0.618 0.382 0.250
0.635 0.365 0.526
0.635 0.365 0.974
0.793 0.207 0.605
0.793 0.207 0.895
0.460 0.540 0.250
0.540 0.460 0.750
```

6.
DFT (GGA-PBE) results for an optimized crystal structure of Nd2AgAu2.

Calculated formation energy (eV per atom): -0.6438
Space-group type: P4/mbm (127)
Spin magnetization (μB/f.u.): 0.000

```
Nd2AgAu2
1.0
7.992 0.000 0.000
0.000 7.992 0.000
0.000 0.000 3.954
Nd Ag Au
4 2 4
Direct
0.172 0.328 0.000
0.328 0.828 0.000
0.672 0.172 0.000
0.828 0.672 0.000
0.000 0.000 0.500
0.500 0.500 0.500
0.129 0.629 0.500
0.371 0.129 0.500
0.629 0.871 0.500
0.871 0.371 0.500
```

7.
DFT (GGA-PBE) results for an optimized crystal structure of NdAgAu.

Calculated formation energy (eV per atom): -0.4248
Energy relative to the lowest polymorph listed for this composition (meV per atom): 145
Space-group type: F-43m (216)
Spin magnetization (μB/f.u.): 0.000

```
NdAgAu
1.0
0.000 3.427 3.427
3.427 0.000 3.427
3.427 3.427 0.000
Nd Ag Au
1 1 1
Direct
0.000 0.000 0.000
0.500 0.500 0.500
0.250 0.250 0.250
```

8.
DFT (GGA-PBE) results for an optimized crystal structure of NdAg2Au2.

Calculated formation energy (eV per atom): -0.4037
Space-group type: P-1 (2)
Spin magnetization (μB/f.u.): 0.000

```
NdAg2Au2
1.0
4.974 0.000 0.000
2.471 4.338 0.000
1.771 0.956 4.990
Nd Ag Au
1 2 2
Direct
0.000 0.000 0.000
0.246 0.250 0.350
0.754 0.750 0.650
0.390 0.384 0.767
0.610 0.616 0.233
```

9.
DFT (GGA-PBE) results for an optimized crystal structure of Nd6Ag2Au.

Calculated formation energy (eV per atom): -0.1813
Space-group type: P2_1/c (14)
Spin magnetization (μB/f.u.): 0.000

```
Nd6Ag2Au
1.0
6.435 0.000 0.000
0.000 8.174 0.000
-6.389 0.000 10.524
Nd Ag Au
12 4 2
Direct
0.073 0.215 0.435
0.073 0.285 0.935
0.295 0.655 0.451
0.295 0.845 0.951
0.393 0.058 0.237
0.393 0.442 0.737
0.607 0.558 0.263
0.607 0.942 0.763
0.705 0.155 0.049
0.705 0.345 0.549
0.927 0.715 0.065
0.927 0.785 0.565
0.133 0.106 0.726
0.133 0.394 0.226
0.867 0.606 0.774
0.867 0.894 0.274
0.500 0.000 0.500
0.500 0.500 0.000
```

10.
DFT (GGA-PBE) results for an optimized crystal structure of Nd3Ag3Au2.

Calculated formation energy (eV per atom): -0.4936
Space-group type: P-62m (189)
Spin magnetization (μB/f.u.): 0.000

```
Nd3Ag3Au2
1.0
7.608 0.000 0.000
-3.804 6.589 0.000
0.000 0.000 3.968
Nd Ag Au
3 3 2
Direct
0.000 0.390 0.000
0.390 0.000 0.000
0.610 0.610 0.000
0.000 0.773 0.500
0.227 0.227 0.500
0.773 0.000 0.500
0.333 0.667 0.500
0.667 0.333 0.500
```

11.
DFT (GGA-PBE) results for an optimized crystal structure of NdAgAu3.

Calculated formation energy (eV per atom): -0.4168
Space-group type: P2_1/m (11)
Spin magnetization (μB/f.u.): 0.000

```
NdAgAu3
1.0
5.289 0.000 0.000
0.000 6.035 0.000
-2.250 0.000 6.890
Nd Ag Au
2 2 6
Direct
0.238 0.250 0.243
0.762 0.750 0.757
0.379 0.750 0.021
0.621 0.250 0.979
0.227 0.017 0.683
0.227 0.483 0.683
0.277 0.750 0.370
0.723 0.250 0.630
0.773 0.517 0.317
0.773 0.983 0.317
```

12.
DFT (GGA-PBE) results for an optimized crystal structure of Nd3Ag3Au.

Calculated formation energy (eV per atom): -0.3669
Space-group type: Imm2 (44)
Spin magnetization (μB/f.u.): 0.000

```
Nd3Ag3Au
1.0
-1.864 2.373 10.236
1.864 -2.373 10.236
1.864 2.373 -10.236
Nd Ag Au
3 3 1
Direct
0.000 0.000 0.000
0.378 0.378 0.000
0.696 0.196 0.500
0.123 0.623 0.500
0.547 0.547 0.000
0.836 0.836 0.000
0.257 0.757 0.500
```

13.
DFT (GGA-PBE) results for an optimized crystal structure of NdAg6Au2.

Calculated formation energy (eV per atom): -0.0024
Space-group type: C2/m (12)
Spin magnetization (μB/f.u.): 0.000

```
NdAg6Au2
1.0
7.354 -4.117 0.000
7.354 4.117 0.000
-0.614 0.000 2.957
Nd Ag Au
1 6 2
Direct
0.000 0.000 0.000
0.003 0.649 0.326
0.334 0.666 0.500
0.351 0.997 0.674
0.649 0.003 0.326
0.666 0.334 0.500
0.997 0.351 0.674
0.347 0.347 0.847
0.653 0.653 0.153
```

14.
DFT (GGA-PBE) results for an optimized crystal structure of Nd3Ag2Au4.

Calculated formation energy (eV per atom): -0.6095
Space-group type: C2/m (12)
Spin magnetization (μB/f.u.): 0.000

```
Nd3Ag2Au4
1.0
5.443 -2.401 0.000
5.443 2.401 0.000
-3.903 0.000 8.121
Nd Ag Au
3 2 4
Direct
0.000 0.000 0.000
0.343 0.343 0.321
0.657 0.657 0.679
0.369 0.369 0.702
0.631 0.631 0.298
0.068 0.068 0.397
0.279 0.279 0.943
0.721 0.721 0.057
0.932 0.932 0.603
```

15.
DFT (GGA-PBE) results for an optimized crystal structure of NdAgAu4.

Calculated formation energy (eV per atom): -0.4138
Energy relative to the lowest polymorph listed for this composition (meV per atom): 4
Space-group type: F-43m (216)
Spin magnetization (μB/f.u.): 0.000

```
NdAgAu4
1.0
0.000 3.952 3.952
3.952 0.000 3.952
3.952 3.952 0.000
Nd Ag Au
1 1 4
Direct
0.000 0.000 0.000
0.250 0.250 0.250
0.127 0.624 0.624
0.624 0.127 0.624
0.624 0.624 0.127
0.624 0.624 0.624
```

16.
DFT (GGA-PBE) results for an optimized crystal structure of NdAgAu4.

Calculated formation energy (eV per atom): -0.4178
Energy relative to the lowest polymorph listed for this composition (meV per atom): 0
Space-group type: P6/mmm (191)
Spin magnetization (μB/f.u.): 0.000

```
NdAgAu4
1.0
4.759 0.000 0.000
-2.380 4.121 0.000
0.000 0.000 6.446
Nd Ag Au
1 1 4
Direct
0.000 0.000 0.000
0.000 0.000 0.500
0.333 0.667 0.271
0.333 0.667 0.729
0.667 0.333 0.271
0.667 0.333 0.729
```

17.
DFT (GGA-PBE) results for an optimized crystal structure of NdAgAu2.

Calculated formation energy (eV per atom): -0.4928
Energy relative to the lowest polymorph listed for this composition (meV per atom): 71
Space-group type: P4/mmm (123)
Spin magnetization (μB/f.u.): 0.000

```
NdAgAu2
1.0
3.642 0.000 0.000
0.000 3.642 0.000
0.000 0.000 6.586
Nd Ag Au
1 1 2
Direct
0.000 0.000 0.000
0.000 0.000 0.500
0.500 0.500 0.276
0.500 0.500 0.724
```

18.
DFT (GGA-PBE) results for an optimized crystal structure of NdAgAu.

Calculated formation energy (eV per atom): -0.5265
Energy relative to the lowest polymorph listed for this composition (meV per atom): 43
Space-group type: P-6m2 (187)
Spin magnetization (μB/f.u.): 0.000

```
NdAgAu
1.0
4.780 0.000 0.000
-2.390 4.139 0.000
0.000 0.000 3.603
Nd Ag Au
1 1 1
Direct
0.000 0.000 0.000
0.333 0.667 0.500
0.667 0.333 0.500
```

19.
DFT (GGA-PBE) results for an optimized crystal structure of NdAgAu.

Calculated formation energy (eV per atom): -0.5346
Energy relative to the lowest polymorph listed for this composition (meV per atom): 35
Space-group type: C2/m (12)
Spin magnetization (μB/f.u.): 0.000

```
NdAgAu
1.0
5.373 -2.351 0.000
5.373 2.351 0.000
-4.427 0.000 5.576
Nd Ag Au
2 2 2
Direct
0.040 0.040 0.291
0.960 0.960 0.709
0.338 0.338 0.889
0.662 0.662 0.111
0.336 0.336 0.310
0.664 0.664 0.690
```

20.
DFT (GGA-PBE) results for an optimized crystal structure of Nd4AgAu.

Calculated formation energy (eV per atom): -0.0193
Space-group type: I4_1md (109)
Spin magnetization (μB/f.u.): 1.373

```
Nd4AgAu
1.0
-5.183 5.183 4.058
5.183 -5.183 4.058
5.183 5.183 -4.058
Nd Ag Au
8 2 2
Direct
0.206 0.495 0.711
0.245 0.034 0.789
0.245 0.456 0.211
0.286 0.000 0.286
0.714 0.000 0.714
0.750 0.536 0.786
0.750 0.964 0.214
0.784 0.495 0.289
0.248 0.748 0.500
0.498 0.498 0.000
0.747 0.247 0.500
0.997 0.997 0.000
```

21.
DFT (GGA-PBE) results for an optimized crystal structure of Nd3Ag2Au6.

Calculated formation energy (eV per atom): -0.4748
Space-group type: I4/mmm (139)
Spin magnetization (μB/f.u.): 0.000

```
Nd3Ag2Au6
1.0
-2.192 2.192 13.332
2.192 -2.192 13.332
2.192 2.192 -13.332
Nd Ag Au
3 2 6
Direct
0.000 0.000 0.000
0.199 0.199 0.000
0.801 0.801 0.000
0.451 0.451 0.000
0.549 0.549 0.000
0.112 0.612 0.500
0.313 0.313 0.000
0.388 0.888 0.500
0.612 0.112 0.500
0.687 0.687 0.000
0.888 0.388 0.500
```

22.
DFT (GGA-PBE) results for an optimized crystal structure of Nd8AgAu2.

Calculated formation energy (eV per atom): -0.1990
Energy relative to the lowest polymorph listed for this composition (meV per atom): 113
Space-group type: Cm (8)
Spin magnetization (μB/f.u.): 0.000

```
Nd8AgAu2
1.0
4.415 -7.086 0.000
4.415 7.086 0.000
-1.909 0.000 5.477
Nd Ag Au
8 1 2
Direct
0.000 0.000 0.000
0.066 0.301 0.600
0.162 0.619 0.190
0.301 0.066 0.600
0.481 0.715 0.781
0.619 0.162 0.190
0.715 0.481 0.781
0.782 0.782 0.381
0.391 0.391 0.191
0.087 0.694 0.691
0.694 0.087 0.691
```

23.
DFT (GGA-PBE) results for an optimized crystal structure of NdAg2Au6.

Calculated formation energy (eV per atom): -0.2057
Space-group type: Immm (71)
Spin magnetization (μB/f.u.): 0.000

```
NdAg2Au6
1.0
-1.645 3.998 7.019
1.645 -3.998 7.019
1.645 3.998 -7.019
Nd Ag Au
1 2 6
Direct
0.000 0.000 0.000
0.353 0.853 0.500
0.647 0.147 0.500
0.000 0.324 0.676
0.000 0.676 0.324
0.328 0.500 0.828
0.352 0.676 0.676
0.648 0.324 0.324
0.672 0.500 0.172
```

24.
DFT (GGA-PBE) results for an optimized crystal structure of Nd2AgAu.

Calculated formation energy (eV per atom): -0.5171
Space-group type: P4/mmm (123)
Spin magnetization (μB/f.u.): 0.000

```
Nd2AgAu
1.0
3.730 0.000 0.000
0.000 3.730 0.000
0.000 0.000 7.486
Nd Ag Au
2 1 1
Direct
0.000 0.000 0.244
0.000 0.000 0.756
0.500 0.500 0.500
0.500 0.500 0.000
```

Electronic total energy? In order: -4.433; -3.941; -4.202; -3.929; -3.639; -4.432; -4.057; -3.809; -4.358; -4.170; -3.907; -4.100; -3.161; -4.289; -3.869; -3.873; -4.036; -4.159; -4.167; -4.219; -4.081; -4.522; -3.554; -4.433 eV/atom.